(1)
# Dy2ErTm4

A geometry-optimized Dy2ErTm4 structure (GGA-PBE, Alexandria).

Output
Energy relative to the elements ... 0.074 eV per atom
SG ... P1, No. 1
Total energy ... -4.448 eV/atom

POSCAR file:
```
Dy2ErTm4
1.0
8.455 -0.209 1.580
-0.715 9.778 -2.053
-2.460 -6.666 6.075
Tm Er Dy
8 2 4
Cartesian
1.691 -1.699 3.057
4.616 0.386 4.122
6.493 6.170 1.511
4.951 3.740 3.341
2.544 4.796 1.174
0.140 -4.136 4.874
7.621 -0.347 2.692
2.020 1.661 2.267
-0.386 3.209 0.392
-0.988 2.389 3.699
4.111 -2.765 5.212
5.064 1.209 0.717
-1.424 -0.968 4.428
4.033 7.508 -0.404
```

(2)
# Ta2TiB

A geometry-optimized Ta2TiB structure (GGA-PBE, Alexandria).

Output
Energy relative to the elements ... 0.226 eV per atom
SG ... I-42d, No. 122
Total energy ... -9.344 eV/atom

POSCAR file:
```
Ta2TiB
1.0
7.631 0.000 0.000
0.000 7.631 0.000
3.816 3.816 2.247
Ti B Ta
2 2 4
Cartesian
0.000 0.000 0.000
7.631 3.816 1.123
3.816 7.631 1.123
3.816 3.816 0.000
4.869 1.908 0.562
9.539 8.685 1.685
5.723 6.578 1.685
2.762 5.723 0.562
```

(3)
# Ac2PaIr3O12

A geometry-optimized Ac2PaIr3O12 structure (GGA-PBE, Alexandria).

Output
E_form (uncorrected) ... -1.902 eV per atom
SG ... R-3m, No. 166
Total energy ... -7.668 eV/atom

POSCAR file:
```
Ac2PaIr3O12
1.0
6.811 -0.189 -0.134
3.199 6.016 -0.134
3.199 1.862 5.722
Ir O Pa Ac
3 12 1 2
Cartesian
3.405 -0.095 -0.067
1.600 3.008 -0.067
1.600 0.931 2.861
4.948 0.945 0.670
5.691 3.313 4.843
8.261 6.744 4.783
7.738 2.150 1.525
3.265 3.836 0.670
5.471 5.538 3.928
7.518 2.023 3.928
9.944 3.853 4.783
3.265 1.901 3.399
5.691 5.666 1.525
7.518 4.376 0.610
9.944 5.788 2.055
0.000 0.000 0.000
8.135 4.735 3.359
5.074 2.954 2.095
```